Entry from the Alexandria database: a geometry-optimized Pu2USi structure (PBE).

```
data_Pu2USi
_cell_length_a 4.825
_cell_length_b 4.825
_cell_length_c 4.825
_cell_angle_alpha 60.00
_cell_angle_beta 60.00
_cell_angle_gamma 60.00
_space_group_name_H-M_alt 'P 1'
_space_group_IT_number 1
_space_group_name_Hall 'P 1'
loop_
_atom_site_label
_atom_site_fract_x
_atom_site_fract_y
_atom_site_fract_z
Si1 0.000 0.000 0.000
U1 0.500 0.500 0.500
Pu1 0.250 0.250 0.250
Pu2 0.750 0.750 0.750
```

Values from the calculation:
Distance to the lowest polymorph of the same formula: 169 meV per atom
Space group: Fm-3m, No. 225
Uncorrected energy: -11.321 eV per atom
E_form (uncorrected): 0.02 eV per atom

***

Entry from the Alexandria database: a geometry-optimized Pu2VSi structure (PBE).

```
data_Pu2VSi
_cell_length_a 2.891
_cell_length_b 2.891
_cell_length_c 10.321
_cell_angle_alpha 81.95
_cell_angle_beta 81.95
_cell_angle_gamma 60.00
_space_group_name_H-M_alt 'P 1'
_space_group_IT_number 1
_space_group_name_Hall 'P 1'
loop_
_atom_site_label
_atom_site_fract_x
_atom_site_fract_y
_atom_site_fract_z
Si1 0.500 0.500 0.500
V1 0.000 0.000 0.000
Pu1 0.085 0.085 0.746
Pu2 0.915 0.915 0.254
```

Values from the calculation:
Distance to the lowest polymorph of the same formula: 469 meV per atom
Space group: R-3m, No. 166
Uncorrected energy: -10.378 eV per atom
E_form (uncorrected): 0.42 eV per atom

***

Entry from the Alexandria database: a geometry-optimized Pu2VSi structure (PBE).

```
data_Pu2VSi
_cell_length_a 3.740
_cell_length_b 3.740
_cell_length_c 5.567
_cell_angle_alpha 90.00
_cell_angle_beta 90.00
_cell_angle_gamma 90.00
_space_group_name_H-M_alt 'P 1'
_space_group_IT_number 1
_space_group_name_Hall 'P 1'
loop_
_atom_site_label
_atom_site_fract_x
_atom_site_fract_y
_atom_site_fract_z
Si1 0.500 0.500 0.500
V1 0.500 0.500 0.000
Pu1 0.000 0.000 0.740
Pu2 0.000 0.000 0.260
```

Values from the calculation:
Distance to the lowest polymorph of the same formula: 0 meV per atom
Space group: P4/mmm, No. 123
Uncorrected energy: -10.847 eV per atom
E_form (uncorrected): -0.05 eV per atom

***

Entry from the Alexandria database: a geometry-optimized PuVSi2 structure (PBE).

```
data_PuVSi2
_cell_length_a 2.705
_cell_length_b 2.705
_cell_length_c 9.419
_cell_angle_alpha 81.74
_cell_angle_beta 81.74
_cell_angle_gamma 60.00
_space_group_name_H-M_alt 'P 1'
_space_group_IT_number 1
_space_group_name_Hall 'P 1'
loop_
_atom_site_label
_atom_site_fract_x
_atom_site_fract_y
_atom_site_fract_z
Si1 0.742 0.742 0.774
Si2 0.258 0.258 0.226
V1 0.000 0.000 0.000
Pu1 0.500 0.500 0.500
```

Values from the calculation:
Distance to the lowest polymorph of the same formula: 294 meV per atom
Space group: R-3m, No. 166
Uncorrected energy: -8.599 eV per atom
E_form (uncorrected): -0.03 eV per atom

***

Entry from the Alexandria database: a geometry-optimized PuVSi2 structure (PBE).

```
data_PuVSi2
_cell_length_a 3.236
_cell_length_b 3.236
_cell_length_c 6.313
_cell_angle_alpha 90.00
_cell_angle_beta 90.00
_cell_angle_gamma 90.00
_space_group_name_H-M_alt 'P 1'
_space_group_IT_number 1
_space_group_name_Hall 'P 1'
loop_
_atom_site_label
_atom_site_fract_x
_atom_site_fract_y
_atom_site_fract_z
Si1 0.000 0.000 0.809
Si2 0.000 0.000 0.191
V1 0.500 0.500 0.000
Pu1 0.500 0.500 0.500
```

Values from the calculation:
Distance to the lowest polymorph of the same formula: 0 meV per atom
Space group: P4/mmm, No. 123
Uncorrected energy: -8.893 eV per atom
E_form (uncorrected): -0.32 eV per atom

***

Entry from the Alexandria database: a geometry-optimized PuSiW structure (PBE).

```
data_PuSiW
_cell_length_a 5.863
_cell_length_b 5.863
_cell_length_c 7.534
_cell_angle_alpha 90.00
_cell_angle_beta 90.00
_cell_angle_gamma 81.63
_space_group_name_H-M_alt 'P 1'
_space_group_IT_number 1
_space_group_name_Hall 'P 1'
loop_
_atom_site_label
_atom_site_fract_x
_atom_site_fract_y
_atom_site_fract_z
Si1 0.820 0.820 0.152
Si2 0.680 0.680 0.652
Si3 0.180 0.180 0.848
Si4 0.320 0.320 0.348
Pu1 0.688 0.312 0.000
Pu2 0.312 0.688 0.000
Pu3 0.188 0.812 0.500
Pu4 0.812 0.188 0.500
W1 0.598 0.598 0.338
W2 0.098 0.098 0.162
W3 0.902 0.902 0.838
W4 0.402 0.402 0.662
```

Values from the calculation:
Space group: Cmce, No. 64
Uncorrected energy: -10.579 eV per atom
E_form (uncorrected): 0.32 eV per atom

***

Entry from the Alexandria database: a geometry-optimized Pu2Si4W3 structure (PBE).

```
data_Pu2Si4W3
_cell_length_a 6.814
_cell_length_b 6.851
_cell_length_c 6.881
_cell_angle_alpha 90.00
_cell_angle_beta 90.00
_cell_angle_gamma 109.61
_space_group_name_H-M_alt 'P 1'
_space_group_IT_number 1
_space_group_name_Hall 'P 1'
loop_
_atom_site_label
_atom_site_fract_x
_atom_site_fract_y
_atom_site_fract_z
Pu1 0.558 0.183 0.338
Pu2 0.942 0.817 0.838
Pu3 0.442 0.817 0.662
Pu4 0.058 0.183 0.162
Si1 0.869 0.089 0.544
Si2 0.631 0.911 0.044
Si3 0.131 0.911 0.456
Si4 0.369 0.089 0.956
Si5 0.869 0.498 0.132
Si6 0.631 0.502 0.632
Si7 0.131 0.502 0.868
Si8 0.369 0.498 0.368
W1 0.000 0.500 0.500
W2 0.500 0.500 0.000
W3 0.750 0.253 0.835
W4 0.750 0.747 0.335
W5 0.250 0.747 0.165
W6 0.250 0.253 0.665
```

Values from the calculation:
Space group: P2_1/c, No. 14
Uncorrected energy: -10.300 eV per atom
E_form (uncorrected): -0.39 eV per atom

***

Entry from the Alexandria database: a geometry-optimized YPu2Si structure (PBE).

```
data_YPu2Si
_cell_length_a 4.905
_cell_length_b 4.356
_cell_length_c 4.356
_cell_angle_alpha 90.00
_cell_angle_beta 90.00
_cell_angle_gamma 90.00
_space_group_name_H-M_alt 'P 1'
_space_group_IT_number 1
_space_group_name_Hall 'P 1'
loop_
_atom_site_label
_atom_site_fract_x
_atom_site_fract_y
_atom_site_fract_z
Y1 0.500 0.500 0.500
Si1 0.500 0.000 0.000
Pu1 0.000 0.000 0.500
Pu2 0.000 0.500 0.000
```

Values from the calculation:
Distance to the lowest polymorph of the same formula: 0 meV per atom
Space group: P4/mmm, No. 123
Uncorrected energy: -10.355 eV per atom
E_form (uncorrected): -0.22 eV per atom

***

Entry from the Alexandria database: a geometry-optimized YPuSi structure (PBE).

```
data_YPuSi
_cell_length_a 4.809
_cell_length_b 3.437
_cell_length_c 8.645
_cell_angle_alpha 90.00
_cell_angle_beta 90.00
_cell_angle_gamma 90.00
_space_group_name_H-M_alt 'P 1'
_space_group_IT_number 1
_space_group_name_Hall 'P 1'
loop_
_atom_site_label
_atom_site_fract_x
_atom_site_fract_y
_atom_site_fract_z
Y1 0.000 0.000 0.000
Y2 0.500 0.000 0.500
Si1 0.000 0.500 0.353
Si2 0.000 0.500 0.647
Pu1 0.500 0.500 0.166
Pu2 0.500 0.500 0.834
```

Values from the calculation:
Distance to the lowest polymorph of the same formula: 218 meV per atom
Space group: Pmmm, No. 47
Uncorrected energy: -8.742 eV per atom
E_form (uncorrected): 0.00 eV per atom

***

Entry from the Alexandria database: a geometry-optimized YPuSi structure (PBE).

```
data_YPuSi
_cell_length_a 4.863
_cell_length_b 4.863
_cell_length_c 4.863
_cell_angle_alpha 60.00
_cell_angle_beta 60.00
_cell_angle_gamma 60.00
_space_group_name_H-M_alt 'P 1'
_space_group_IT_number 1
_space_group_name_Hall 'P 1'
loop_
_atom_site_label
_atom_site_fract_x
_atom_site_fract_y
_atom_site_fract_z
Y1 0.000 0.000 0.000
Si1 0.250 0.250 0.250
Pu1 0.500 0.500 0.500
```

Values from the calculation:
Distance to the lowest polymorph of the same formula: 0 meV per atom
Space group: F-43m, No. 216
Uncorrected energy: -8.961 eV per atom
E_form (uncorrected): -0.22 eV per atom

***

Entry from the Alexandria database: a geometry-optimized YPu2Si structure (PBE).

```
data_YPu2Si
_cell_length_a 3.462
_cell_length_b 3.462
_cell_length_c 10.380
_cell_angle_alpha 80.40
_cell_angle_beta 80.40
_cell_angle_gamma 60.00
_space_group_name_H-M_alt 'P 1'
_space_group_IT_number 1
_space_group_name_Hall 'P 1'
loop_
_atom_site_label
_atom_site_fract_x
_atom_site_fract_y
_atom_site_fract_z
Y1 0.500 0.500 0.500
Si1 0.000 0.000 0.000
Pu1 0.265 0.265 0.204
Pu2 0.735 0.735 0.796
```

Values from the calculation:
Distance to the lowest polymorph of the same formula: 305 meV per atom
Space group: R-3m, No. 166
Uncorrected energy: -10.050 eV per atom
E_form (uncorrected): 0.09 eV per atom

***

Entry from the Alexandria database: a geometry-optimized YPu2Si6 structure (PBE).

```
data_YPu2Si6
_cell_length_a 3.903
_cell_length_b 7.028
_cell_length_c 7.028
_cell_angle_alpha 120.00
_cell_angle_beta 90.00
_cell_angle_gamma 90.00
_space_group_name_H-M_alt 'P 1'
_space_group_IT_number 1
_space_group_name_Hall 'P 1'
loop_
_atom_site_label
_atom_site_fract_x
_atom_site_fract_y
_atom_site_fract_z
Y1 0.000 0.000 0.000
Pu1 0.000 0.333 0.667
Pu2 0.000 0.667 0.333
Si1 0.500 0.333 0.333
Si2 0.500 0.667 0.667
Si3 0.500 0.000 0.667
Si4 0.500 0.667 0.000
Si5 0.500 0.333 0.000
Si6 0.500 0.000 0.333
```

Values from the calculation:
Space group: P6/mmm, No. 191
Uncorrected energy: -8.022 eV per atom
E_form (uncorrected): -0.50 eV per atom

***

Entry from the Alexandria database: a geometry-optimized YPuSi2 structure (PBE).

```
data_YPuSi2
_cell_length_a 4.295
_cell_length_b 3.808
_cell_length_c 5.769
_cell_angle_alpha 90.00
_cell_angle_beta 111.86
_cell_angle_gamma 90.00
_space_group_name_H-M_alt 'P 1'
_space_group_IT_number 1
_space_group_name_Hall 'P 1'
loop_
_atom_site_label
_atom_site_fract_x
_atom_site_fract_y
_atom_site_fract_z
Y1 0.726 0.000 0.991
Pu1 0.439 0.500 0.417
Si1 0.155 0.500 0.850
Si2 0.011 0.000 0.560
```

Values from the calculation:
Distance to the lowest polymorph of the same formula: 0 meV per atom
Space group: Amm2, No. 38
Uncorrected energy: -8.523 eV per atom
E_form (uncorrected): -0.61 eV per atom